La3NdHo2Tm6: relaxed, PBE-GGA.

E_tot, eV per formula unit: -55.24
Density, Mg/m³: 8.2
Spin magnetization, μB/f.u.: 0.000
Space-group type: C2/m
N(E_F), states/eV/cell: 14.97

Lattice parameters (Å, degrees): 6.203 6.203 11.749 95.04 95.04 119.99
Sites, in units of the cell vectors:
La 0.167 0.833 0.500
La 0.833 0.167 0.500
La 0.500 0.500 0.500
Nd 0.000 0.000 0.000
Ho 0.333 0.667 0.000
Ho 0.667 0.333 0.000
Tm 0.918 0.584 0.755
Tm 0.748 0.748 0.246
Tm 0.082 0.416 0.245
Tm 0.584 0.918 0.755
Tm 0.252 0.252 0.754
Tm 0.416 0.082 0.245

=====

Pm2C2I: relaxed, PBE-GGA.

E_tot, eV per formula unit: -32.77
Density, Mg/m³: 6.5
Spin magnetization, μB/f.u.: 0.000
Space-group type: C2/c
N(E_F), states/eV/cell: 2.36

Lattice parameters (Å, degrees): 4.293 6.879 8.058 100.06 105.45 90.00
Sites, in units of the cell vectors:
Pm 0.857 0.152 0.326
Pm 0.469 0.652 0.326
Pm 0.143 0.848 0.674
Pm 0.531 0.348 0.674
C 0.903 0.474 0.548
C 0.355 0.026 0.452
C 0.097 0.526 0.452
C 0.645 0.974 0.548
I 0.777 0.750 0.000
I 0.223 0.250 0.000

=====

PdPtAu3: relaxed, PBE-GGA.

E_tot, eV per formula unit: -20.02
Density, Mg/m³: 16.1
Spin magnetization, μB/f.u.: 0.000
Space-group type: R-3
N(E_F), states/eV/cell: 5.61
Excess energy over the best structure of this formula in the dataset, eV per atom: 0.037

Lattice parameters (Å, degrees): 7.766 7.766 5.700 47.06 47.06 60.00
Sites, in units of the cell vectors:
Pd 0.874 0.874 0.377
Pd 0.126 0.126 0.623
Pt 0.622 0.622 0.133
Pt 0.378 0.378 0.867
Au 0.251 0.940 0.237
Au 0.940 0.572 0.237
Au 0.572 0.251 0.237
Au 0.749 0.060 0.763
Au 0.060 0.428 0.763
Au 0.428 0.749 0.763

=====

Pm3Er4In: relaxed, PBE-GGA.

E_tot, eV per formula unit: -36.15
Density, Mg/m³: 8.2
Spin magnetization, μB/f.u.: 0.000
Space-group type: Pmn2_1
N(E_F), states/eV/cell: 16.61

Lattice parameters (Å, degrees): 6.198 7.064 11.237 90.00 90.00 90.00
Sites, in units of the cell vectors:
Pm 0.627 0.628 0.000
Pm 0.973 0.616 0.238
Pm 0.473 0.384 0.262
Pm 0.127 0.372 0.500
Pm 0.473 0.384 0.738
Pm 0.973 0.616 0.762
Er 0.166 0.879 0.000
Er 0.646 0.128 0.000
Er 0.989 0.123 0.240
Er 0.489 0.877 0.260
Er 0.146 0.872 0.500
Er 0.666 0.121 0.500
Er 0.489 0.877 0.740
Er 0.989 0.123 0.760
In 0.152 0.361 0.000
In 0.652 0.639 0.500

=====

B5SbO10: relaxed, PBE-GGA.

E_tot, eV per formula unit: -119.65
Density, Mg/m³: 2.8
Spin magnetization, μB/f.u.: 0.007
Space-group type: P2_1/c
N(E_F), states/eV/cell: 0.00

Lattice parameters (Å, degrees): 7.323 7.399 14.855 90.00 90.00 92.07
Sites, in units of the cell vectors:
B 0.086 0.791 0.038
B 0.586 0.791 0.462
B 0.493 0.800 0.780
B 0.993 0.800 0.720
B 0.275 0.762 0.502
B 0.775 0.762 0.998
B 0.507 0.715 0.620
B 0.007 0.715 0.880
B 0.497 0.508 0.258
B 0.997 0.508 0.242
B 0.003 0.492 0.758
B 0.503 0.492 0.742
B 0.993 0.285 0.120
B 0.493 0.285 0.380
B 0.225 0.238 0.002
B 0.725 0.238 0.498
B 0.007 0.200 0.280
B 0.507 0.200 0.220
B 0.414 0.209 0.538
B 0.914 0.209 0.962
Sb 0.466 0.828 0.128
Sb 0.966 0.828 0.372
Sb 0.034 0.172 0.628
Sb 0.534 0.172 0.872
O 0.467 0.926 0.850
O 0.967 0.926 0.650
O 0.210 0.827 0.109
O 0.710 0.827 0.391
O 0.032 0.848 0.806
O 0.403 0.810 0.437
O 0.532 0.848 0.694
O 0.903 0.810 0.063
O 0.086 0.760 0.480
O 0.586 0.760 0.020
O 0.495 0.694 0.236
O 0.138 0.751 0.954
O 0.995 0.694 0.264
O 0.638 0.751 0.546
O 0.315 0.722 0.587
O 0.815 0.722 0.913
O 0.471 0.620 0.807
O 0.971 0.620 0.693
O 0.468 0.470 0.345
O 0.032 0.530 0.845
O 0.968 0.470 0.155
O 0.532 0.530 0.655
O 0.029 0.380 0.307
O 0.529 0.380 0.193
O 0.185 0.278 0.087
O 0.685 0.278 0.413
O 0.362 0.249 0.454
O 0.005 0.306 0.736
O 0.862 0.249 0.046
O 0.505 0.306 0.764
O 0.414 0.240 0.980
O 0.914 0.240 0.520
O 0.097 0.190 0.937
O 0.468 0.152 0.306
O 0.597 0.190 0.563
O 0.968 0.152 0.194
O 0.290 0.173 0.609
O 0.790 0.173 0.891
O 0.033 0.074 0.350
O 0.533 0.074 0.150

=====

ZrFeOs2: relaxed, PBE-GGA.

E_tot, eV per formula unit: -37.35
Density, Mg/m³: 12.5
Spin magnetization, μB/f.u.: 2.397
Space-group type: I-42d
N(E_F), states/eV/cell: 10.53
Excess energy over the best structure of this formula in the dataset, eV per atom: 0.534

Lattice parameters (Å, degrees): 3.981 3.981 9.309 77.65 77.65 90.00
Each line ends with the local moment (μB).
Sites, in units of the cell vectors:
Os 0.554 0.125 0.250  0.12
Os 0.196 0.625 0.250  0.14
Os 0.375 0.446 0.750  0.12
Os 0.875 0.804 0.750  0.13
Fe 0.500 0.500 0.000  2.21
Fe 0.250 0.750 0.500  2.20
Zr 0.000 0.000 0.000  -0.09
Zr 0.750 0.250 0.500  -0.08

=====

HfMgBeZn: relaxed, PBE-GGA.

E_tot, eV per formula unit: -16.49
Density, Mg/m³: 7.1
Spin magnetization, μB/f.u.: 0.000
Space-group type: F-43m
N(E_F), states/eV/cell: 1.16

Lattice parameters (Å, degrees): 4.504 4.504 4.504 60.00 60.00 60.00
Sites, in units of the cell vectors:
Be 0.500 0.500 0.500
Zn 0.000 0.000 0.000
Hf 0.250 0.250 0.250
Mg 0.750 0.750 0.750

=====

Ac6SnTe3P2: relaxed, PBE-GGA.

E_tot, eV per formula unit: -65.82
Density, Mg/m³: 7.4
Spin magnetization, μB/f.u.: 0.000
Space-group type: C2/m
N(E_F), states/eV/cell: 4.88

Lattice parameters (Å, degrees): 4.627 9.413 10.489 104.34 102.74 90.00
Sites, in units of the cell vectors:
Ac 0.334 0.893 0.668
Ac 0.674 0.566 0.349
Ac 0.666 0.107 0.332
Ac 0.010 0.249 0.019
Ac 0.990 0.751 0.981
Ac 0.326 0.434 0.651
Sn 0.500 0.000 0.000
Te 0.500 0.500 0.000
Te 0.835 0.169 0.671
Te 0.165 0.831 0.329
P 0.830 0.662 0.661
P 0.170 0.338 0.339

=====

MgVHPd2: relaxed, PBE-GGA.

E_tot, eV per formula unit: -25.41
Density, Mg/m³: 7.3
Spin magnetization, μB/f.u.: 3.087
Space-group type: P4/mmm
N(E_F), states/eV/cell: 4.02

Lattice parameters (Å, degrees): 4.124 4.124 3.873 90.00 90.00 90.00
Each line ends with the local moment (μB).
Sites, in units of the cell vectors:
H 0.000 0.000 0.000  0.00
Mg 0.500 0.500 0.500  0.01
Pd 0.000 0.500 0.000  0.18
Pd 0.500 0.000 0.000  0.18
V 0.000 0.000 0.500  2.28

=====

Sr3ReN: relaxed, PBE-GGA.

E_tot, eV per formula unit: -23.04
Density, Mg/m³: 5.5
Spin magnetization, μB/f.u.: 3.229
Space-group type: Pm-3m
N(E_F), states/eV/cell: 5.31
Excess energy over the best structure of this formula in the dataset, eV per atom: 0.000

Lattice parameters (Å, degrees): 5.189 5.189 5.189 90.00 90.00 90.00
Each line ends with the local moment (μB).
Sites, in units of the cell vectors:
Re 0.500 0.500 0.500  2.50
N 0.000 0.000 0.000  0.11
Sr 0.000 0.500 0.000  0.00
Sr 0.000 0.000 0.500  0.00
Sr 0.500 0.000 0.000  -0.02

=====

SiTcMo: relaxed, PBE-GGA.

E_tot, eV per formula unit: -27.52
Density, Mg/m³: 8.7
Spin magnetization, μB/f.u.: 0.000
Space-group type: C2/m
N(E_F), states/eV/cell: 6.43
Excess energy over the best structure of this formula in the dataset, eV per atom: 0.072

Lattice parameters (Å, degrees): 5.076 4.207 9.189 90.00 119.87 90.00
Sites, in units of the cell vectors:
Mo 0.257 0.000 0.505
Mo 0.743 0.000 0.495
Mo 0.257 0.500 0.005
Mo 0.743 0.500 0.995
Si 0.376 0.000 0.830
Si 0.624 0.000 0.170
Si 0.376 0.500 0.330
Si 0.624 0.500 0.670
Tc 0.877 0.000 0.828
Tc 0.123 0.000 0.172
Tc 0.877 0.500 0.328
Tc 0.123 0.500 0.672

=====

CsPaCoS4: relaxed, PBE-GGA.

E_tot, eV per formula unit: -42.07
Density, Mg/m³: 5.2
Spin magnetization, μB/f.u.: 1.866
Space-group type: P2_1/m
N(E_F), states/eV/cell: 6.73

Lattice parameters (Å, degrees): 6.514 5.915 9.563 90.00 106.43 90.00
Each line ends with the local moment (μB).
Sites, in units of the cell vectors:
Cs 0.754 0.750 0.950  0.00
Cs 0.246 0.250 0.050  0.00
Pa 0.742 0.750 0.451  0.02
Pa 0.258 0.250 0.549  0.02
Co 0.236 0.750 0.348  1.43
Co 0.764 0.250 0.652  1.43
S 0.012 0.508 0.685  0.02
S 0.988 0.008 0.315  0.02
S 0.988 0.492 0.315  0.02
S 0.012 0.992 0.685  0.02
S 0.445 0.750 0.202  0.07
S 0.555 0.250 0.798  0.07
S 0.426 0.750 0.579  0.06
S 0.574 0.250 0.421  0.06

=====

Which value of N(E_F) does entry 5 give?
0.00 states/eV/cell